# 1
First-principles (PBE-GGA) data for MnFe6B2 after structural relaxation, as listed in Alexandria via LeMat-Bulk.

CIF file:
```
data_MnFe6B2
_symmetry_space_group_name_H-M 'P 1'
_symmetry_Int_Tables_number 1
_symmetry_space_group_name_Hall 'P 1'
_cell_length_a 6.148
_cell_length_b 6.148
_cell_length_c 6.148
_cell_angle_alpha 102.20
_cell_angle_beta 112.51
_cell_angle_gamma 113.94
loop_
_atom_site_label
_atom_site_fract_x
_atom_site_fract_y
_atom_site_fract_z
Mn1 0.000 0.500 0.500
Mn2 0.000 0.000 0.000
B1 0.656 0.000 0.656
Fe1 0.900 0.706 0.194
Fe2 0.792 0.752 0.544
Fe3 0.489 0.294 0.194
Fe4 0.208 0.248 0.456
Fe5 0.511 0.706 0.806
Fe6 0.700 0.377 0.677
Fe7 0.700 0.023 0.323
B2 0.500 0.617 0.117
Fe8 0.792 0.248 0.040
Fe9 0.300 0.977 0.677
Fe10 0.300 0.623 0.323
B3 0.500 0.383 0.883
Fe11 0.208 0.752 0.960
Fe12 0.100 0.294 0.806
B4 0.344 0.000 0.344
```

Summary:
- crystal system = orthorhombic
- calculated formation energy (eV/atom) = -0.1304
- Fermi-level density of states (states/eV/cell) = 14.3
- symmetry = Immm (71)

# 2
First-principles (PBE-GGA) data for MnFeB after structural relaxation, as listed in Alexandria via LeMat-Bulk.

CIF file:
```
data_MnFeB
_symmetry_space_group_name_H-M 'P 1'
_symmetry_Int_Tables_number 1
_symmetry_space_group_name_Hall 'P 1'
_cell_length_a 2.897
_cell_length_b 5.740
_cell_length_c 9.818
_cell_angle_alpha 90.00
_cell_angle_beta 90.00
_cell_angle_gamma 90.00
loop_
_atom_site_label
_atom_site_fract_x
_atom_site_fract_y
_atom_site_fract_z
B1 0.000 0.557 0.250
Fe1 0.500 0.811 0.250
Mn1 0.000 0.781 0.454
Fe2 0.500 0.189 0.750
Mn2 0.000 0.781 0.046
Fe3 0.500 0.567 0.881
B2 0.500 0.942 0.911
Mn3 0.000 0.157 0.250
Mn4 0.000 0.219 0.954
Fe4 0.500 0.567 0.619
Fe5 0.500 0.433 0.119
Mn5 0.000 0.219 0.546
Fe6 0.500 0.433 0.381
B3 0.500 0.058 0.411
Mn6 0.000 0.843 0.750
B4 0.500 0.058 0.089
B5 0.000 0.443 0.750
B6 0.500 0.942 0.589
```

Summary:
- crystal system = orthorhombic
- calculated formation energy (eV/atom) = -0.2960
- Fermi-level density of states (states/eV/cell) = 13.9
- symmetry = Pmma (51)

# 3
First-principles (PBE-GGA) data for MnFe6B6 after structural relaxation, as listed in Alexandria via LeMat-Bulk.

CIF file:
```
data_MnFe6B6
_symmetry_space_group_name_H-M 'P 1'
_symmetry_Int_Tables_number 1
_symmetry_space_group_name_Hall 'P 1'
_cell_length_a 4.152
_cell_length_b 5.466
_cell_length_c 5.466
_cell_angle_alpha 81.88
_cell_angle_beta 67.68
_cell_angle_gamma 67.68
loop_
_atom_site_label
_atom_site_fract_x
_atom_site_fract_y
_atom_site_fract_z
B1 0.000 0.000 0.500
B2 0.000 0.500 0.000
Fe1 0.321 0.179 0.179
B3 0.500 0.234 0.766
Fe2 0.659 0.341 0.341
Fe3 0.000 0.659 0.341
Fe4 0.000 0.341 0.659
Mn1 0.000 0.000 0.000
Fe5 0.341 0.659 0.659
B4 0.500 0.766 0.234
B5 0.500 0.000 0.500
Fe6 0.679 0.821 0.821
B6 0.500 0.500 0.000
```

Summary:
- crystal system = orthorhombic
- calculated formation energy (eV/atom) = -0.0520
- Fermi-level density of states (states/eV/cell) = 9.2
- symmetry = Immm (71)

| no. | total magnetic moment (μB per formula unit) |
| --- | --- |
| 1 | 10.06 |
| 2 | 2.66 |
| 3 | 5.34 |